# 1
Here is crystalline DyThAlCd at its relaxed geometry from Alexandria via LeMat-Bulk. Energies are from GGA-PBE.

DFT formation energy ... -0.24 eV/atom
Calculated volume ... 104.3 Å³ per cell
M_tot ... 0.00 μB/atom
Crystal system ... cubic

Lattice parameters (Å, degrees): 5.284 5.284 5.284 60.00 60.00 60.00
Fractional coordinates of all 4 atoms:
Dy 0.000 0.000 0.000
Th 0.500 0.500 0.500
Al 0.750 0.750 0.750
Cd 0.250 0.250 0.250

***

# 2
Here is crystalline CaFe2Hg at its relaxed geometry from Alexandria via LeMat-Bulk. Energies are from GGA-PBE.

DFT formation energy ... 0.46 eV/atom
Calculated volume ... 80.9 Å³ per cell
M_tot ... 1.30 μB/atom
Crystal system ... tetragonal

Lattice parameters (Å, degrees): 3.576 3.576 6.328 90.00 90.00 90.00
Fractional coordinates of all 4 atoms:
Ca 0.000 0.000 0.000
Fe 0.500 0.500 0.323
Fe 0.500 0.500 0.677
Hg 0.000 0.000 0.500

***

The highest DFT formation energy belongs to which entry?
CaFe2Hg

***

What did the second record say?
Here is crystalline CaFe2Hg at its relaxed geometry from Alexandria via LeMat-Bulk. Energies are from GGA-PBE.

DFT formation energy ... 0.46 eV/atom
Calculated volume ... 80.9 Å³ per cell
M_tot ... 1.30 μB/atom
Crystal system ... tetragonal

Lattice parameters (Å, degrees): 3.576 3.576 6.328 90.00 90.00 90.00
Fractional coordinates of all 4 atoms:
Ca 0.000 0.000 0.000
Fe 0.500 0.500 0.323
Fe 0.500 0.500 0.677
Hg 0.000 0.000 0.500